# 1
Below is an optimized crystal structure of Tl2CoOs, with properties calculated at the GGA-PBE level.

ΔE to the lowest computed polymorph: 39.94 kJ per mole of atoms
formation energy from the elements: 1.02 eV per atom
ρ: 15.12 Mg/m³

Cell: 3.1864 5.1536 8.8015 Å, 90.00 90.00 90.00°
Last column: nearest neighbours and their distance in Å.
Space group Immm (No. 71)
Asymmetric unit:
Tl (0.0000, 0.0000, 0.2364)  2 Co 2.62, 2 Os 2.81
Co (0.0000, 0.5000, 0.5000)  4 Tl 2.62
Os (0.0000, 0.5000, 0.0000)  4 Tl 2.81, 4 Co 3.03

---

# 2
Below is an optimized crystal structure of Tl2Co2Os, with properties calculated at the GGA-PBE level.

ΔE to the lowest computed polymorph: 16.76 kJ per mole of atoms
formation energy from the elements: 1.05 eV per atom
ρ: 14.23 Mg/m³

Cell: 7.4291 7.4291 3.0319 Å, 90.00 90.00 90.00°
Last column: nearest neighbours and their distance in Å.
Space group P4/mbm (No. 127)
Asymmetric unit:
Tl (0.1507, 0.3493, 0.0000)  6 Co 2.59-2.70, 2 Os 2.83
Co (0.1494, 0.6494, 0.5000)  6 Tl 2.59-2.70
Os (0.0000, 0.0000, 0.0000)  4 Tl 2.83, 2 Os 3.03

---

# 3
Below is an optimized crystal structure of Tl2CoOs, with properties calculated at the GGA-PBE level.

ΔE to the lowest computed polymorph: 41.21 kJ per mole of atoms
formation energy from the elements: 1.03 eV per atom
ρ: 14.84 Mg/m³

Cell: 3.0647 4.3842 5.4970 Å, 90.00 94.38 90.00°
Last column: nearest neighbours and their distance in Å.
Space group P2/m (No. 10)
Asymmetric unit:
Tl (0.2150, 0.0000, 0.2554)  2 Co 2.68, 2 Os 2.78
Co (0.0000, 0.5000, 0.5000)  4 Tl 2.68
Os (0.5000, 0.5000, 0.0000)  4 Tl 2.78, 2 Co 3.04, 2 Os 3.06

---

# 4
Below is an optimized crystal structure of TlCo2Os, with properties calculated at the GGA-PBE level.

ΔE to the lowest computed polymorph: 5.22 kJ per mole of atoms
formation energy from the elements: 0.52 eV per atom
ρ: 14.74 Mg/m³

Cell: 2.7841 3.5312 5.8733 Å, 90.00 90.00 90.00°
Last column: nearest neighbours and their distance in Å.
Space group Pmmm (No. 47)
Asymmetric unit:
Tl (0.0000, 0.0000, 0.0000)  2 Tl 2.78, 8 Co 2.84, 2 Os 2.94
Co (0.5000, 0.5000, 0.2942)  1 Co 2.42, 4 Os 2.55
Os (0.0000, 0.0000, 0.5000)  8 Co 2.55, 2 Os 2.78

---

# 5
Below is an optimized crystal structure of TlCoOs2, with properties calculated at the GGA-PBE level.

ΔE to the lowest computed polymorph: 54.86 kJ per mole of atoms
formation energy from the elements: 1.11 eV per atom
ρ: 15.83 Mg/m³

Cell: 7.4151 7.4151 4.9135 Å, 90.00 90.00 90.00°
Last column: nearest neighbours and their distance in Å.
Space group I-42d (No. 122)
Asymmetric unit:
Tl (0.0000, 0.0000, 0.0000)  2 Co 2.46
Co (0.0000, 0.0000, 0.5000)  4 Os 2.39, 2 Tl 2.46
Os (0.1866, 0.2500, 0.6250)  2 Co 2.39, 2 Os 2.63

---

# 6
Below is an optimized crystal structure of TlCoOs2, with properties calculated at the GGA-PBE level.

ΔE to the lowest computed polymorph: 35.61 kJ per mole of atoms
formation energy from the elements: 0.91 eV per atom
ρ: 16.60 Mg/m³

Cell: 2.8526 4.8788 9.2535 Å, 90.00 90.00 90.00°
Last column: nearest neighbours and their distance in Å.
Space group Cmm2 (No. 35)
Asymmetric unit:
Tl (0.0000, 0.0000, 0.0000)  2 Co 2.78, 6 Tl 2.83-2.85, 2 Os 2.98
Co (0.0000, 0.5000, 0.2575)  2 Os 2.51, 2 Tl 2.78
Os (0.0000, 0.0000, 0.4803)  2 Co 2.51, 2 Os 2.61
Os (0.0000, 0.5000, 0.7171)  8 Os 2.61-2.85

---

# 7
Below is an optimized crystal structure of TlCoOs, with properties calculated at the GGA-PBE level.

ΔE to the lowest computed polymorph: 0.00 kJ per mole of atoms
formation energy from the elements: 0.65 eV per atom
ρ: 15.83 Mg/m³

Cell: 2.8662 2.8662 11.5846 Å, 90.00 90.00 90.00°
Last column: nearest neighbours and their distance in Å.
Space group I4mm (No. 107)
Asymmetric unit:
Tl (0.0000, 0.0000, 0.0000)  4 Tl 2.87, 4 Co 2.91, 4 Os 3.04
Co (0.0000, 0.0000, 0.6801)  4 Os 2.48
Os (0.0000, 0.0000, 0.3042)  4 Co 2.48

---

# 8
Below is an optimized crystal structure of TlCo2Os, with properties calculated at the GGA-PBE level.

ΔE to the lowest computed polymorph: 18.09 kJ per mole of atoms
formation energy from the elements: 0.66 eV per atom
ρ: 14.68 Mg/m³

Cell: 4.3767 4.3767 3.0271 Å, 90.00 90.00 90.00°
Last column: nearest neighbours and their distance in Å.
Space group P4/mmm (No. 123)
Asymmetric unit:
Tl (0.0000, 0.0000, 0.0000)  8 Co 2.66
Co (0.0000, 0.5000, 0.5000)  4 Tl 2.66, 4 Os 2.66
Os (0.5000, 0.5000, 0.0000)  8 Co 2.66

---

# 9
Below is an optimized crystal structure of TlCoOs2, with properties calculated at the GGA-PBE level.

ΔE to the lowest computed polymorph: 34.81 kJ per mole of atoms
formation energy from the elements: 0.91 eV per atom
ρ: 17.58 Mg/m³

Cell: 3.8669 3.8669 8.1355 Å, 90.00 90.00 90.00°
Last column: nearest neighbours and their distance in Å.
Space group I4/mmm (No. 139)
Asymmetric unit:
Tl (0.0000, 0.0000, 0.0000)  4 Co 2.73, 8 Os 2.81
Co (0.0000, 0.0000, 0.5000)  4 Tl 2.73, 8 Os 2.81
Os (0.0000, 0.5000, 0.2500)  4 Os 2.73, 4 Tl 2.81, 4 Co 2.81

---

# 10
Below is an optimized crystal structure of TlCo2Os, with properties calculated at the GGA-PBE level.

ΔE to the lowest computed polymorph: 13.00 kJ per mole of atoms
formation energy from the elements: 0.60 eV per atom
ρ: 14.69 Mg/m³

Cell: 8.7158 2.7996 4.8318 Å, 90.00 100.63 90.00°
Last column: nearest neighbours and their distance in Å.
Space group Cm (No. 8)
Asymmetric unit:
Tl (0.0000, 0.0000, 0.0000)  7 Co 2.62-2.81, 2 Tl 2.80, 3 Os 2.85-2.93
Co (0.0017, 0.5000, 0.5049)  3 Os 2.50-2.56, 5 Co 2.61-2.80, 2 Tl 2.77
Co (0.2421, 0.0000, 0.7490)  2 Os 2.46, 3 Co 2.61-2.74, 3 Tl 2.62-2.73
Os (0.2647, 0.5000, 0.3396)  5 Co 2.46-2.56

---

# 11
Below is an optimized crystal structure of TlCoOs2, with properties calculated at the GGA-PBE level.

ΔE to the lowest computed polymorph: 37.43 kJ per mole of atoms
formation energy from the elements: 0.93 eV per atom
ρ: 17.35 Mg/m³

Cell: 2.9706 4.6215 8.9768 Å, 90.00 90.00 90.00°
Last column: nearest neighbours and their distance in Å.
Space group Imm2 (No. 44)
Asymmetric unit:
Tl (0.0000, 0.0000, 0.0000)  2 Co 2.67, 6 Os 2.75-2.85, 2 Tl 2.97
Co (0.0000, 0.5000, 0.7476)  6 Os 2.57-2.75, 2 Tl 2.67
Os (0.0000, 0.0000, 0.4818)  2 Co 2.57, 2 Os 2.67, 4 Tl 2.75
Os (0.0000, 0.5000, 0.2289)  4 Os 2.67-2.97, 4 Co 2.75, 2 Tl 2.85

---

# 12
Below is an optimized crystal structure of Tl2CoOs, with properties calculated at the GGA-PBE level.

ΔE to the lowest computed polymorph: 35.53 kJ per mole of atoms
formation energy from the elements: 0.97 eV per atom
ρ: 15.02 Mg/m³

Cell: 8.7432 3.1145 5.4632 Å, 90.00 102.05 90.00°
Last column: nearest neighbours and their distance in Å.
Space group C2/m (No. 12)
Asymmetric unit:
Tl (0.2461, 0.0000, 0.2432)  3 Co 2.76-2.81, 3 Os 2.80-2.83, 2 Tl 3.09
Co (0.0000, 0.5000, 0.0000)  6 Tl 2.76-2.81
Os (0.0000, 0.0000, 0.5000)  6 Tl 2.80-2.83, 2 Os 3.11

---

# 13
Below is an optimized crystal structure of TlCo2Os, with properties calculated at the GGA-PBE level.

ΔE to the lowest computed polymorph: 18.30 kJ per mole of atoms
formation energy from the elements: 0.66 eV per atom
ρ: 13.98 Mg/m³

Cell: 8.4782 2.8689 5.0825 Å, 90.00 100.03 90.00°
Last column: nearest neighbours and their distance in Å.
Space group C2/m (No. 12)
Asymmetric unit:
Tl (0.0000, 0.0000, 0.0000)  6 Co 2.78-2.86, 2 Tl 2.87, 4 Os 2.92
Co (0.2396, 0.0000, 0.6909)  2 Co 2.44, 3 Os 2.54-2.56
Os (0.0000, 0.5000, 0.5000)  6 Co 2.54-2.56

---

# 14
Below is an optimized crystal structure of Tl2CoOs, with properties calculated at the GGA-PBE level.

ΔE to the lowest computed polymorph: 61.80 kJ per mole of atoms
formation energy from the elements: 1.24 eV per atom
ρ: 13.52 Mg/m³

Cell: 4.1038 4.1038 19.1975 Å, 90.00 90.00 90.00°
Last column: nearest neighbours and their distance in Å.
Space group I-42d (No. 122)
Asymmetric unit:
Tl (0.2482, 0.2500, 0.1250)  2 Co 2.80, 2 Os 2.81, 4 Tl 2.89-2.91
Co (0.0000, 0.0000, 0.0000)  4 Tl 2.80, 4 Os 2.90
Os (0.0000, 0.0000, 0.5000)  4 Tl 2.81, 4 Co 2.90

---

# 15
Below is an optimized crystal structure of TlCo2Os, with properties calculated at the GGA-PBE level.

ΔE to the lowest computed polymorph: 0.00 kJ per mole of atoms
formation energy from the elements: 0.47 eV per atom
ρ: 14.80 Mg/m³

Cell: 2.7883 2.7883 7.3933 Å, 90.00 90.00 90.00°
Last column: nearest neighbours and their distance in Å.
Space group P4/mmm (No. 123)
Asymmetric unit:
Tl (0.0000, 0.0000, 0.0000)  4 Tl 2.79, 8 Co 2.87
Co (0.5000, 0.5000, 0.2814)  4 Os 2.55, 4 Co 2.79
Os (0.0000, 0.0000, 0.5000)  8 Co 2.55, 4 Os 2.79

---

# 16
Below is an optimized crystal structure of Tl2CoOs, with properties calculated at the GGA-PBE level.

ΔE to the lowest computed polymorph: 32.46 kJ per mole of atoms
formation energy from the elements: 0.94 eV per atom
ρ: 15.65 Mg/m³

Cell: 6.5356 6.5356 6.5356 Å, 90.00 90.00 90.00°
Last column: nearest neighbours and their distance in Å.
Space group Fm-3m (No. 225)
Asymmetric unit:
Tl (0.2500, 0.2500, 0.2500)  4 Co 2.83, 4 Os 2.83
Co (0.0000, 0.0000, 0.0000)  8 Tl 2.83
Os (0.0000, 0.0000, 0.5000)  8 Tl 2.83

---

# 17
Below is an optimized crystal structure of TlCoOs2, with properties calculated at the GGA-PBE level.

ΔE to the lowest computed polymorph: 15.68 kJ per mole of atoms
formation energy from the elements: 0.71 eV per atom
ρ: 17.28 Mg/m³

Cell: 9.1676 2.8409 4.8572 Å, 90.00 101.97 90.00°
Last column: nearest neighbours and their distance in Å.
Space group C2/m (No. 12)
Asymmetric unit:
Tl (0.0000, 0.0000, 0.0000)  6 Os 2.77-2.95, 4 Co 2.81, 2 Tl 2.84
Co (0.0000, 0.5000, 0.5000)  6 Os 2.57-2.87, 4 Tl 2.81, 2 Co 2.84
Os (0.2299, 0.0000, 0.7101)  3 Co 2.57-2.87, 4 Os 2.58-2.84, 1 Tl 2.77

---

# 18
Below is an optimized crystal structure of TlCoOs2, with properties calculated at the GGA-PBE level.

ΔE to the lowest computed polymorph: 28.24 kJ per mole of atoms
formation energy from the elements: 0.84 eV per atom
ρ: 17.60 Mg/m³

Cell: 3.9991 3.9991 7.5962 Å, 90.00 90.00 90.00°
Last column: nearest neighbours and their distance in Å.
Space group I-4m2 (No. 119)
Asymmetric unit:
Tl (0.0000, 0.0000, 0.0000)  4 Co 2.76, 8 Os 2.76-2.83
Co (0.0000, 0.5000, 0.7500)  4 Tl 2.76, 8 Os 2.76-2.83
Os (0.0000, 0.0000, 0.5000)  4 Co 2.76, 4 Os 2.76, 4 Tl 2.83
Os (0.0000, 0.5000, 0.2500)  4 Tl 2.76, 4 Os 2.76, 4 Co 2.83

---

# 19
Below is an optimized crystal structure of Tl2CoOs, with properties calculated at the GGA-PBE level.

ΔE to the lowest computed polymorph: 32.00 kJ per mole of atoms
formation energy from the elements: 0.93 eV per atom
ρ: 15.22 Mg/m³

Cell: 3.1014 3.1014 25.8521 Å, 90.00 90.00 120.00°
Last column: nearest neighbours and their distance in Å.
Space group R-3m (No. 166, hexagonal axes)
Asymmetric unit:
Tl (0.0000, 0.0000, 0.2462)  3 Co 2.73, 3 Os 2.88
Co (0.0000, 0.0000, 0.5000)  6 Tl 2.73
Os (0.0000, 0.0000, 0.0000)  6 Tl 2.88, 6 Os 3.10

---

# 20
Below is an optimized crystal structure of TlCoOs4, with properties calculated at the GGA-PBE level.

formation energy from the elements: 1.06 eV per atom
ρ: 17.04 Mg/m³

Cell: 7.3635 7.3635 7.3635 Å, 90.00 90.00 90.00°
Last column: nearest neighbours and their distance in Å.
Space group F-43m (No. 216)
Asymmetric unit:
Tl (0.0000, 0.0000, 0.0000)  12 Os 3.05, 4 Co 3.19
Co (0.2500, 0.2500, 0.7500)  12 Os 3.05, 4 Tl 3.19
Os (0.1245, 0.1245, 0.3755)  6 Os 2.59-2.61